This record from the Alexandria database describes Th4Ge2BiSe after structural relaxation. The functional is PBE.

## Properties
Density (Mg/m³): 9.592
ΔE_f (raw) (eV/atom): -0.952
Space group: P2/m, No. 10

a b c (Å): 4.346 7.627 7.528
angles (deg): 70.84 90.00 90.00
Positions (direct):
Th  0.000  0.230  0.249
Th  0.500  0.225  0.766
Th  0.500  0.775  0.234
Th  0.000  0.770  0.751
Ge  0.500  0.000  0.500
Ge  0.000  0.000  0.000
Se  0.500  0.500  0.000
Bi  0.000  0.500  0.500



This record from the Alexandria database describes LuTlAg2 after structural relaxation. The functional is PBE.

## Properties
Density (Mg/m³): 10.869
DFT formation energy (eV/atom): -0.158
Space group: P4/mmm, No. 123

a b c (Å): 3.737 3.737 6.510
angles (deg): 90.00 90.00 90.00
Positions (direct):
Tl  0.500  0.500  0.500
Ag  0.000  0.000  0.228
Ag  0.000  0.000  0.772
Lu  0.500  0.500  0.000



Among the records above, which one has the lowest density? Th4Ge2BiSe